1.
Computed, not measured: an optimized crystal structure of DyHoH2O4 at the PBE level of DFT.

Calculated total energy: -7.129 eV/atom

Cell lengths 4.2925, 3.5895, 5.9172 Å; angles 90.00, 109.74, 90.00 degrees
Closest atoms and distances in Å follow each position.
Sites, in units of the cell vectors:
Dy  0.0000  0.0000  0.0000  7 O 2.26-2.42
Ho  0.6731  0.5000  0.3811  7 O 2.25-2.41
H  0.3274  0.5000  0.7873  1 O 0.97
H  0.3457  0.0000  0.5938  1 O 0.97
O  0.0901  0.5000  0.7552  1 H 0.97
O  0.1056  0.5000  0.2468  2 Ho 2.25-2.29, 2 Dy 2.26
O  0.5684  0.0000  0.1364  2 Ho 2.25, 2 Dy 2.26-2.30
O  0.5827  0.0000  0.6248  1 H 0.97

***

2.
Computed, not measured: an optimized crystal structure of FeMo4C3 at the PBE level of DFT.

Calculated total energy: -9.738 eV/atom

Cell lengths 3.0759, 3.0759, 23.0244 Å; angles 90.00, 90.00, 120.00 degrees
Closest atoms and distances in Å follow each position.
Sites, in units of the cell vectors:
Fe  0.3333  0.6667  0.2500  6 Mo 2.74
Fe  0.6667  0.3333  0.7500  6 Mo 2.74
Mo  0.0000  0.0000  0.1593  3 C 2.07
Mo  0.0000  0.0000  0.3407  3 C 2.07
Mo  0.0000  0.0000  0.6593  3 C 2.07
Mo  0.0000  0.0000  0.8407  3 C 2.07
Mo  0.3333  0.6667  0.0579  6 C 2.19-2.22
Mo  0.3333  0.6667  0.4421  6 C 2.19-2.22
Mo  0.6667  0.3333  0.5579  6 C 2.19-2.22
Mo  0.6667  0.3333  0.9421  6 C 2.19-2.22
C  0.0000  0.0000  0.0000  6 Mo 2.22
C  0.0000  0.0000  0.5000  6 Mo 2.22
C  0.3333  0.6667  0.6133  6 Mo 2.07-2.19
C  0.3333  0.6667  0.8867  6 Mo 2.07-2.19
C  0.6667  0.3333  0.1133  6 Mo 2.07-2.19
C  0.6667  0.3333  0.3867  6 Mo 2.07-2.19

***

3.
Computed, not measured: an optimized crystal structure of Bi10PtSe10 at the PBE level of DFT.

Calculated total energy: -4.065 eV/atom

Cell lengths 11.8595, 13.0100, 8.3900 Å; angles 90.00, 90.00, 90.00 degrees
Closest atoms and distances in Å follow each position.
Sites, in units of the cell vectors:
Bi  0.0000  0.0000  0.2493  6 Se 2.86-3.09
Bi  0.0000  0.0000  0.7507  6 Se 2.86-3.09
Bi  0.1349  0.4044  0.2705  1 Pt 2.80, 2 Se 2.88-3.03
Bi  0.1349  0.4044  0.7295  1 Pt 2.80, 2 Se 2.88-3.03
Bi  0.1585  0.6689  0.5000  3 Se 2.81-2.95, 1 Pt 2.89
Bi  0.2140  0.5639  0.0000  4 Se 2.88-2.98, 2 Bi 3.22
Bi  0.2860  0.0639  0.0000  4 Se 2.88-2.98, 2 Bi 3.22
Bi  0.3415  0.1689  0.5000  3 Se 2.81-2.95, 1 Pt 2.89
Bi  0.3651  0.9044  0.2705  1 Pt 2.80, 2 Se 2.88-3.03
Bi  0.3651  0.9044  0.7295  1 Pt 2.80, 2 Se 2.88-3.03
Bi  0.5000  0.5000  0.2493  6 Se 2.86-3.09
Bi  0.5000  0.5000  0.7507  6 Se 2.86-3.09
Bi  0.6349  0.0956  0.2705  1 Pt 2.80, 2 Se 2.88-3.03
Bi  0.6349  0.0956  0.7295  1 Pt 2.80, 2 Se 2.88-3.03
Bi  0.6585  0.8311  0.5000  3 Se 2.81-2.95, 1 Pt 2.89
Bi  0.7140  0.9361  0.0000  4 Se 2.88-2.98, 2 Bi 3.22
Bi  0.7860  0.4361  0.0000  4 Se 2.88-2.98, 2 Bi 3.22
Bi  0.8415  0.3311  0.5000  3 Se 2.81-2.95, 1 Pt 2.89
Bi  0.8651  0.5956  0.2705  1 Pt 2.80, 2 Se 2.88-3.03
Bi  0.8651  0.5956  0.7295  1 Pt 2.80, 2 Se 2.88-3.03
Pt  0.0000  0.5000  0.5000  6 Bi 2.80-2.89
Pt  0.5000  0.0000  0.5000  6 Bi 2.80-2.89
Se  0.0042  0.3393  0.0000  3 Bi 2.88
Se  0.1169  0.8948  0.0000  3 Bi 2.86-2.98
Se  0.1527  0.8958  0.5000  5 Bi 2.95-3.17
Se  0.1725  0.1742  0.2648  4 Bi 2.81-3.06
Se  0.1725  0.1742  0.7352  4 Bi 2.81-3.06
Se  0.3275  0.6742  0.2648  4 Bi 2.81-3.06
Se  0.3275  0.6742  0.7352  4 Bi 2.81-3.06
Se  0.3473  0.3958  0.5000  5 Bi 2.95-3.17
Se  0.3831  0.3948  0.0000  3 Bi 2.86-2.98
Se  0.4958  0.8393  0.0000  3 Bi 2.88
Se  0.5042  0.1607  0.0000  3 Bi 2.88
Se  0.6169  0.6052  0.0000  3 Bi 2.86-2.98
Se  0.6527  0.6042  0.5000  5 Bi 2.95-3.17
Se  0.6725  0.3258  0.2648  4 Bi 2.81-3.06
Se  0.6725  0.3258  0.7352  4 Bi 2.81-3.06
Se  0.8275  0.8258  0.2648  4 Bi 2.81-3.06
Se  0.8275  0.8258  0.7352  4 Bi 2.81-3.06
Se  0.8473  0.1042  0.5000  5 Bi 2.95-3.17
Se  0.8831  0.1052  0.0000  3 Bi 2.86-2.98
Se  0.9958  0.6607  0.0000  3 Bi 2.88

***

4.
Computed, not measured: an optimized crystal structure of AcSmDy at the PBE level of DFT.

Energy above the lowest structure with this stoichiometry: 0.00 kcal/mol of atoms
Energy of formation: 192 kJ/mol of formula units

Cell lengths 8.0278, 8.0278, 8.0278 Å; angles 90.00, 90.00, 90.00 degrees
Closest atoms and distances in Å follow each position.
Sites, in units of the cell vectors:
Ac  0.0000  0.0000  0.0000  4 Dy 3.48
Ac  0.0000  0.5000  0.5000  4 Dy 3.48
Ac  0.5000  0.0000  0.5000  4 Dy 3.48
Ac  0.5000  0.5000  0.0000  4 Dy 3.48
Sm  0.0000  0.0000  0.5000  4 Dy 3.48
Sm  0.0000  0.5000  0.0000  4 Dy 3.48
Sm  0.5000  0.0000  0.0000  4 Dy 3.48
Sm  0.5000  0.5000  0.5000  4 Dy 3.48
Dy  0.2500  0.2500  0.2500  4 Ac 3.48, 4 Sm 3.48
Dy  0.2500  0.7500  0.7500  4 Ac 3.48, 4 Sm 3.48
Dy  0.7500  0.2500  0.7500  4 Ac 3.48, 4 Sm 3.48
Dy  0.7500  0.7500  0.2500  4 Ac 3.48, 4 Sm 3.48

***

5.
Computed, not measured: an optimized crystal structure of Cu5Ag4 at the PBE level of DFT.

Energy above the lowest structure with this stoichiometry: 0.99 kcal/mol of atoms
Energy of formation: 72 kJ/mol of formula units

Cell lengths 5.8752, 5.8752, 8.4984 Å; angles 103.96, 103.96, 27.48 degrees
Closest atoms and distances in Å follow each position.
Sites, in units of the cell vectors:
Cu  0.0000  0.0000  0.0000  5 Cu 2.53-2.79, 6 Ag 2.68-2.76
Cu  0.0003  0.0003  0.3746  5 Cu 2.53-2.79, 6 Ag 2.67-2.75
Cu  0.3461  0.3461  0.4698  7 Cu 2.53-2.79, 3 Ag 2.72-2.84
Cu  0.3500  0.3500  0.7973  7 Cu 2.53-2.79, 4 Ag 2.73-2.81
Cu  0.9937  0.9937  0.6799  8 Cu 2.54-2.79, 4 Ag 2.76-2.82
Ag  0.3522  0.3522  0.1383  6 Cu 2.67-2.89, 6 Ag 2.79-2.92
Ag  0.6598  0.6598  0.2419  6 Cu 2.75-2.86, 6 Ag 2.79-2.92
Ag  0.6692  0.6692  0.9011  6 Cu 2.68-2.81, 6 Ag 2.76-2.92
Ag  0.6770  0.6770  0.5786  8 Cu 2.70-2.82, 4 Ag 2.76-2.82

***

6.
Computed, not measured: an optimized crystal structure of NdGd2 at the PBE level of DFT.

Energy above the lowest structure with this stoichiometry: 11.05 kcal/mol of atoms
Energy of formation: 216 kJ/mol of formula units

Cell lengths 7.7668, 7.7668, 7.7668 Å; angles 90.00, 90.00, 90.00 degrees
Closest atoms and distances in Å follow each position.
Sites, in units of the cell vectors:
Nd  0.0000  0.0000  0.0000  8 Gd 3.36
Nd  0.0000  0.5000  0.5000  8 Gd 3.36
Nd  0.5000  0.0000  0.5000  8 Gd 3.36
Nd  0.5000  0.5000  0.0000  8 Gd 3.36
Gd  0.2500  0.2500  0.2500  4 Nd 3.36
Gd  0.2500  0.2500  0.7500  4 Nd 3.36
Gd  0.2500  0.7500  0.2500  4 Nd 3.36
Gd  0.2500  0.7500  0.7500  4 Nd 3.36
Gd  0.7500  0.2500  0.2500  4 Nd 3.36
Gd  0.7500  0.2500  0.7500  4 Nd 3.36
Gd  0.7500  0.7500  0.2500  4 Nd 3.36
Gd  0.7500  0.7500  0.7500  4 Nd 3.36

***

7.
Computed, not measured: an optimized crystal structure of NaIrO4 at the PBE level of DFT.

Energy above the lowest structure with this stoichiometry: 0.00 kcal/mol of atoms

Cell lengths 4.8447, 3.1149, 4.8663 Å; angles 90.00, 90.47, 90.00 degrees
Closest atoms and distances in Å follow each position.
Sites, in units of the cell vectors:
Na  0.0000  0.0000  0.0000  6 O 2.22-2.26
Ir  0.5000  0.5000  0.5000  6 O 1.78-1.98
O  0.2407  0.5000  0.2396  1 Ir 1.78
O  0.3205  0.0000  0.6771  2 Ir 1.98, 1 Na 2.22
O  0.6795  0.0000  0.3229  2 Ir 1.98, 1 Na 2.22
O  0.7593  0.5000  0.7604  1 Ir 1.78

***

8.
Computed, not measured: an optimized crystal structure of LiCoOsPb at the PBE level of DFT.

Energy above the lowest structure with this stoichiometry: 0.00 kcal/mol of atoms

Cell lengths 6.1917, 6.1917, 6.1917 Å; angles 90.00, 90.00, 90.00 degrees
Closest atoms and distances in Å follow each position.
Sites, in units of the cell vectors:
Li  0.0000  0.0000  0.0000  4 Os 2.68, 4 Pb 2.68
Li  0.0000  0.5000  0.5000  4 Os 2.68, 4 Pb 2.68
Li  0.5000  0.0000  0.5000  4 Os 2.68, 4 Pb 2.68
Li  0.5000  0.5000  0.0000  4 Os 2.68, 4 Pb 2.68
Co  0.0000  0.0000  0.5000  4 Pb 2.68, 4 Os 2.68
Co  0.0000  0.5000  0.0000  4 Pb 2.68, 4 Os 2.68
Co  0.5000  0.0000  0.0000  4 Pb 2.68, 4 Os 2.68
Co  0.5000  0.5000  0.5000  4 Pb 2.68, 4 Os 2.68
Os  0.2500  0.2500  0.7500  4 Li 2.68, 4 Co 2.68
Os  0.2500  0.7500  0.2500  4 Li 2.68, 4 Co 2.68
Os  0.7500  0.2500  0.2500  4 Li 2.68, 4 Co 2.68
Os  0.7500  0.7500  0.7500  4 Li 2.68, 4 Co 2.68
Pb  0.2500  0.2500  0.2500  4 Li 2.68, 4 Co 2.68
Pb  0.2500  0.7500  0.7500  4 Li 2.68, 4 Co 2.68
Pb  0.7500  0.2500  0.7500  4 Li 2.68, 4 Co 2.68
Pb  0.7500  0.7500  0.2500  4 Li 2.68, 4 Co 2.68